DFT (PBE-GGA) results for an optimized crystal structure of TiInS2.

It has space group P3m1 (No. 156), with a = 3.8246 Å, b = 3.8246 Å, c = 8.3867 Å, α = 90.00°, β = 90.00° and γ = 120.00°. The distinct sites, in fractional coordinates, are Ti at (0.0000, 0.0000, 0.0000), In at (0.6667, 0.3333, 0.4702), S at (0.0000, 0.0000, 0.2712) and S at (0.3333, 0.6667, 0.8910).


DFT (PBE-GGA) results for an optimized crystal structure of TiInS2.

It has space group C2/c (No. 15), with a = 9.8103 Å, b = 8.6345 Å, c = 6.0660 Å, α = 90.00°, β = 124.61° and γ = 90.00°. The distinct sites, in fractional coordinates, are Ti at (0.0000, 0.0199, 0.2500), In at (0.0000, 0.4046, 0.7500) and S at (0.1567, 0.1454, 0.6696).


DFT (PBE-GGA) results for an optimized crystal structure of TiInS2.

It has space group Cmcm (No. 63), with a = 3.2486 Å, b = 27.6376 Å, c = 3.6419 Å, α = 90.00°, β = 90.00° and γ = 90.00°. The distinct sites, in fractional coordinates, are Ti at (0.0000, 0.1885, 0.2500), In at (0.0000, 0.4504, 0.2500), S at (0.0000, 0.2838, 0.2500) and S at (0.0000, 0.3769, 0.7500).


DFT (PBE-GGA) results for an optimized crystal structure of Ti4InS.

It has space group C2/c (No. 15), with a = 13.6228 Å, b = 5.4489 Å, c = 5.9868 Å, α = 90.00°, β = 106.41° and γ = 90.00°. The distinct sites, in fractional coordinates, are Ti at (0.0887, 0.0845, 0.4564), Ti at (0.1885, 0.3886, 0.1242), In at (0.0000, 0.4132, 0.7500) and S at (0.2500, 0.2500, 0.5000).


| no. | raw formation energy (eV/f.u.) | Fermi-level density of states (states/eV per cell) |
| --- | --- | --- |
| 1 | -2.98 | 0.818 |
| 2 | -3.36 | 0.002 |
| 3 | -3.49 | 7.708 |
| 4 | -2.66 | 25.810 |